Entry 1:
# LiAsPt (PBE-GGA, optimized geometry)
# **DFT total energy**: -4.771 eV per atom
# **Mass density**: 9.22 g cm⁻³
# **DOS at the Fermi energy**: 0.418 states/eV per atom
data_LiAsPt
_symmetry_space_group_name_H-M 'P 1 21/m 1'
_symmetry_Int_Tables_number 11
_cell_length_a 6.560
_cell_length_b 3.997
_cell_length_c 11.411
_cell_angle_alpha 90.00
_cell_angle_beta 90.60
_cell_angle_gamma 90.00
loop_
_symmetry_equiv_pos_as_xyz
'x,y,z'
'-x,-y,-z'
'-x,y+1/2,-z'
'x,-y+1/2,z'
loop_
_atom_site_label
_atom_site_fract_x
_atom_site_fract_y
_atom_site_fract_z
_atom_site_occupancy
Li1 0.007 0.250 0.288 1
Li2 0.343 0.250 0.092 1
Li3 0.473 0.250 0.382 1
As1 0.216 0.250 0.584 1
As2 0.240 0.750 0.912 1
As3 0.289 0.750 0.255 1
Pt1 0.040 0.750 0.094 1
Pt2 0.174 0.750 0.460 1
Pt3 0.345 0.250 0.792 1

Entry 2:
# Li2AsPt3 (PBE-GGA, optimized geometry)
# **DFT total energy**: -4.981 eV per atom
# **Mass density**: 11.21 g cm⁻³
# **DOS at the Fermi energy**: 0.494 states/eV per atom
data_Li2AsPt3
_symmetry_space_group_name_H-M 'R -3 m'
_symmetry_Int_Tables_number 166
_symmetry_space_group_name_Hall '-R 3 2"'
_cell_length_a 5.4620
_cell_length_b 5.4620
_cell_length_c 11.5931
_cell_angle_alpha 90.00
_cell_angle_beta 90.00
_cell_angle_gamma 120.00
loop_
_atom_site_label
_atom_site_fract_x
_atom_site_fract_y
_atom_site_fract_z
_atom_site_occupancy
Li1 0.0000 0.0000 0.1227 1
As1 0.0000 0.0000 0.5000 1
Pt1 0.0000 0.5000 0.0000 1

Entry 3:
# Li4AsPt (PBE-GGA, optimized geometry)
# **DFT total energy**: -3.321 eV per atom
# **Mass density**: 6.20 g cm⁻³
# **DOS at the Fermi energy**: 0.436 states/eV per atom
# **Energy above the lowest structure with this stoichiometry**: 31.4 kJ per mole of atoms
data_Li4AsPt
_symmetry_space_group_name_H-M 'F -4 3 m'
_symmetry_Int_Tables_number 216
_symmetry_space_group_name_Hall 'F -4 2 3'
_cell_length_a 6.834
_cell_length_b 6.834
_cell_length_c 6.834
_cell_angle_alpha 90.00
_cell_angle_beta 90.00
_cell_angle_gamma 90.00
loop_
_atom_site_label
_atom_site_fract_x
_atom_site_fract_y
_atom_site_fract_z
_atom_site_occupancy
Li1 0.124 0.124 0.124 1
As1 0.000 0.000 0.500 1
Pt1 0.250 0.250 0.750 1

Which E_form belongs to each record? In order, -55 -53 -25 kJ per mole of atoms.